Material: Lu4HgTeC2
Method: DFT, PBE-GGA
State: optimized geometry

Its energy is -5.642 eV per atom. As for the total moment: 0.9 μB per formula unit.

It has space group P-6m2 (No. 187), with a = 3.6269 Å, b = 3.6269 Å, c = 14.4704 Å, α = 90.00°, β = 90.00° and γ = 120.00°. Symmetry generates all atoms from Lu at (0.0000, 0.0000, 0.1561), Lu at (0.6667, 0.3333, 0.3327), Hg at (0.0000, 0.0000, 0.5000), Te at (0.6667, 0.3333, 0.0000) and C at (0.3333, 0.6667, 0.2425).

=====

Material: GdTmS2
Method: DFT, PBE-GGA
State: optimized geometry

Its energy is -6.311 eV per atom. As for the total moment: 0.0 μB per formula unit.

It has space group P4/mmm (No. 123), with a = 3.8930 Å, b = 3.8930 Å, c = 5.5074 Å, α = 90.00°, β = 90.00° and γ = 90.00°. Symmetry generates all atoms from Gd at (0.0000, 0.0000, 0.0000), Tm at (0.5000, 0.5000, 0.5000), S at (0.0000, 0.0000, 0.5000) and S at (0.5000, 0.5000, 0.0000).

=====

Material: LaTmOs
Method: DFT, PBE-GGA
State: optimized geometry

The value obtained for the offset from the most stable computed form is 0 meV per atom. The formation energy comes out at -0.1353 eV per atom. As for the total moment: 0.0 μB per formula unit.

It has space group Pnma (No. 62), with a = 7.3327 Å, b = 4.6286 Å, c = 8.9372 Å, α = 90.00°, β = 90.00° and γ = 90.00°. Symmetry generates all atoms from La at (0.1493, 0.2500, 0.0856), Tm at (0.0058, 0.2500, 0.6546) and Os at (0.2397, 0.2500, 0.4035).

=====

Material: NdUAg
Method: DFT, PBE-GGA
State: optimized geometry

The value obtained for the offset from the most stable computed form is 0 meV per atom. The formation energy comes out at 0.9546 eV per atom. As for the total moment: 3.0 μB per formula unit.

It has space group F-43m (No. 216), with a = 6.9613 Å, b = 6.9613 Å, c = 6.9613 Å, α = 90.00°, β = 90.00° and γ = 90.00°. Symmetry generates all atoms from Nd at (0.0000, 0.0000, 0.0000), U at (0.2500, 0.2500, 0.7500) and Ag at (0.0000, 0.0000, 0.5000).

=====

Material: Tb2AsSe
Method: DFT, PBE-GGA
State: optimized geometry

Its energy is -6.068 eV per atom. As for the total moment: 0.0 μB per formula unit.

It has space group Pmmn (No. 59, origin choice 2), with a = 4.1138 Å, b = 5.8045 Å, c = 8.2525 Å, α = 90.00°, β = 90.00° and γ = 90.00°. Symmetry generates all atoms from Tb at (0.2500, 0.2500, 0.1165), Tb at (0.2500, 0.2500, 0.6366), As at (0.2500, 0.7500, 0.1264) and Se at (0.2500, 0.7500, 0.6220).

=====

Material: TbNdAl2Ni4
Method: DFT, PBE-GGA
State: optimized geometry

Its energy is -5.447 eV per atom. As for the total moment: 0.0 μB per formula unit.

It has space group P-6m2 (No. 187), with a = 4.1608 Å, b = 4.1608 Å, c = 9.1921 Å, α = 90.00°, β = 90.00° and γ = 120.00°. Symmetry generates all atoms from Tb at (0.0000, 0.0000, 0.0000), Nd at (0.6667, 0.3333, 0.5000), Al at (0.3333, 0.6667, 0.2427), Ni at (0.0000, 0.0000, 0.2998) and Ni at (0.6667, 0.3333, 0.1851).

=====

Material: CoSnIrPt
Method: DFT, PBE-GGA
State: optimized geometry

The value obtained for the offset from the most stable computed form is 0 meV per atom. As for the total moment: 1.8 μB per formula unit.

It has space group F-43m (No. 216), with a = 6.2818 Å, b = 6.2818 Å, c = 6.2818 Å, α = 90.00°, β = 90.00° and γ = 90.00°. Symmetry generates all atoms from Co at (0.0000, 0.0000, 0.0000), Sn at (0.2500, 0.2500, 0.7500), Ir at (0.0000, 0.0000, 0.5000) and Pt at (0.2500, 0.2500, 0.2500).

=====

Material: Ac2Sc
Method: DFT, PBE-GGA
State: optimized geometry

The formation energy comes out at 2.0248 eV per atom. As for the total moment: 2.4 μB per formula unit.

It has space group Fd-3m (No. 227, origin choice 2), with a = 13.6301 Å, b = 13.6301 Å, c = 13.6301 Å, α = 90.00°, β = 90.00° and γ = 90.00°. Symmetry generates all atoms from Ac at (0.0000, 0.0000, 0.0000) and Sc at (0.1250, 0.1250, 0.1250).

=====

Material: Tc2Mo
Method: DFT, PBE-GGA
State: optimized geometry

The value obtained for the offset from the most stable computed form is 0 meV per atom. The formation energy comes out at 0.1815 eV per atom. As for the total moment: 0.0 μB per formula unit.

It has space group Fd-3m (No. 227, origin choice 2), with a = 7.1830 Å, b = 7.1830 Å, c = 7.1830 Å, α = 90.00°, β = 90.00° and γ = 90.00°. Symmetry generates all atoms from Tc at (0.0000, 0.0000, 0.0000) and Mo at (0.1250, 0.1250, 0.6250).

=====

Material: MgAgPO
Method: DFT, PBE-GGA
State: optimized geometry

The value obtained for the offset from the most stable computed form is 106 meV per atom.

It has space group Pmc2_1 (No. 26), with a = 3.2870 Å, b = 7.2160 Å, c = 5.2454 Å, α = 90.00°, β = 90.00° and γ = 90.00°. Symmetry generates all atoms from Mg at (0.0000, 0.1731, 0.0000), Ag at (0.5000, 0.2242, 0.4602), P at (0.0000, 0.4648, 0.3564) and O at (0.5000, 0.0891, 0.8569).

=====

Material: NaNdCdS3
Method: DFT, PBE-GGA
State: optimized geometry

The value obtained for the offset from the most stable computed form is 4 meV per atom. As for the total moment: 0.0 μB per formula unit.

It has space group Pnma (No. 62), with a = 12.0554 Å, b = 4.1330 Å, c = 11.7556 Å, α = 90.00°, β = 90.00° and γ = 90.00°. Symmetry generates all atoms from Na at (0.1281, 0.2500, 0.0089), Nd at (0.0418, 0.2500, 0.6706), Cd at (0.2358, 0.2500, 0.2866), S at (0.0610, 0.7500, 0.8440), S at (0.0849, 0.2500, 0.4288) and S at (0.2223, 0.7500, 0.1571).

=====

Material: TaCoSbOs
Method: DFT, PBE-GGA
State: optimized geometry

The value obtained for the offset from the most stable computed form is 0 meV per atom. As for the total moment: 1.2 μB per formula unit.

It has space group F-43m (No. 216), with a = 6.3499 Å, b = 6.3499 Å, c = 6.3499 Å, α = 90.00°, β = 90.00° and γ = 90.00°. Symmetry generates all atoms from Ta at (0.0000, 0.0000, 0.0000), Co at (0.2500, 0.2500, 0.7500), Sb at (0.0000, 0.0000, 0.5000) and Os at (0.2500, 0.2500, 0.2500).

=====

Material: PrZrSi2
Method: DFT, PBE-GGA
State: optimized geometry

The value obtained for the offset from the most stable computed form is 63 meV per atom. As for the total moment: 0.0 μB per formula unit.

It has space group P2_1/m (No. 11), with a = 5.6976 Å, b = 3.8646 Å, c = 7.6593 Å, α = 90.00°, β = 92.50° and γ = 90.00°. Symmetry generates all atoms from Pr at (0.1249, 0.2500, 0.1814), Zr at (0.3853, 0.2500, 0.6749), Si at (0.1434, 0.7500, 0.4720) and Si at (0.3756, 0.7500, 0.9531).

=====

Material: HoNpZn
Method: DFT, PBE-GGA
State: optimized geometry

The formation energy comes out at 0.9406 eV per atom. As for the total moment: 4.3 μB per formula unit.

It has space group F-43m (No. 216), with a = 6.6075 Å, b = 6.6075 Å, c = 6.6075 Å, α = 90.00°, β = 90.00° and γ = 90.00°. Symmetry generates all atoms from Ho at (0.0000, 0.0000, 0.0000), Np at (0.2500, 0.2500, 0.7500) and Zn at (0.2500, 0.2500, 0.2500).

=====

Material: LiAcU
Method: DFT, PBE-GGA
State: optimized geometry

The value obtained for the offset from the most stable computed form is 0 meV per atom. As for the total moment: 3.9 μB per formula unit.

It has space group F-43m (No. 216), with a = 7.2385 Å, b = 7.2385 Å, c = 7.2385 Å, α = 90.00°, β = 90.00° and γ = 90.00°. Symmetry generates all atoms from Li at (0.0000, 0.0000, 0.0000), Ac at (0.2500, 0.2500, 0.7500) and U at (0.2500, 0.2500, 0.2500).

=====

Material: KYNb
Method: DFT, PBE-GGA
State: optimized geometry

The value obtained for the offset from the most stable computed form is 0 meV per atom. As for the total moment: 4.9 μB per formula unit.

It has space group F-43m (No. 216), with a = 7.7529 Å, b = 7.7529 Å, c = 7.7529 Å, α = 90.00°, β = 90.00° and γ = 90.00°. Symmetry generates all atoms from K at (0.0000, 0.0000, 0.0000), Y at (0.2500, 0.2500, 0.2500) and Nb at (0.0000, 0.0000, 0.5000).

=====

Material: AcFeAs
Method: DFT, PBE-GGA
State: optimized geometry

The value obtained for the offset from the most stable computed form is 0 meV per atom. As for the total moment: 2.0 μB per formula unit.

It has space group F-43m (No. 216), with a = 6.5297 Å, b = 6.5297 Å, c = 6.5297 Å, α = 90.00°, β = 90.00° and γ = 90.00°. Symmetry generates all atoms from Ac at (0.0000, 0.0000, 0.0000), Fe at (0.2500, 0.2500, 0.2500) and As at (0.0000, 0.0000, 0.5000).

=====

Material: Co3Bi
Method: DFT, PBE-GGA
State: optimized geometry

The value obtained for the offset from the most stable computed form is 188 meV per atom. As for the total moment: 0.1 μB per formula unit.

It has space group Fm-3m (No. 225), with a = 6.1007 Å, b = 6.1007 Å, c = 6.1007 Å, α = 90.00°, β = 90.00° and γ = 90.00°. Symmetry generates all atoms from Co at (0.0000, 0.0000, 0.0000), Co at (0.2500, 0.2500, 0.2500) and Bi at (0.0000, 0.0000, 0.5000).

=====

Material: TmBTe
Method: DFT, PBE-GGA
State: optimized geometry

The value obtained for the offset from the most stable computed form is 0 meV per atom. As for the total moment: 0.0 μB per formula unit.

It has space group F-43m (No. 216), with a = 6.3504 Å, b = 6.3504 Å, c = 6.3504 Å, α = 90.00°, β = 90.00° and γ = 90.00°. Symmetry generates all atoms from Tm at (0.0000, 0.0000, 0.0000), B at (0.2500, 0.2500, 0.7500) and Te at (0.0000, 0.0000, 0.5000).

=====

Material: Ta2SnO7
Method: DFT, PBE-GGA
State: optimized geometry

Its energy is -8.529 eV per atom. As for the total moment: 0.0 μB per formula unit.

It has space group C2/c (No. 15), with a = 16.4297 Å, b = 4.9335 Å, c = 5.1487 Å, α = 90.00°, β = 96.60° and γ = 90.00°. Symmetry generates all atoms from Ta at (0.1617, 0.2275, 0.3039), Sn at (0.0000, 0.2334, 0.7500), O at (0.0000, 0.3734, 0.2500), O at (0.0807, 0.0152, 0.5296), O at (0.1402, 0.4475, 0.9994) and O at (0.2241, 0.0950, 0.6672).

=====

Material: LaNd3Br2N2
Method: DFT, PBE-GGA
State: optimized geometry

Its energy is -6.334 eV per atom. As for the total moment: 0.0 μB per formula unit.

It has space group P3m1 (No. 156), with a = 3.7264 Å, b = 3.7264 Å, c = 14.7314 Å, α = 90.00°, β = 90.00° and γ = 120.00°. Symmetry generates all atoms from La at (0.0000, 0.0000, 0.0000), Nd at (0.0000, 0.0000, 0.3201), Nd at (0.6667, 0.3333, 0.4993), Nd at (0.6667, 0.3333, 0.8171), Br at (0.0000, 0.0000, 0.6580), Br at (0.6667, 0.3333, 0.1649), N at (0.3333, 0.6667, 0.4097) and N at (0.3333, 0.6667, 0.9044).

=====

Material: Nd3Cd3Ga2Pd
Method: DFT, PBE-GGA
State: optimized geometry

Its energy is -3.705 eV per atom. As for the total moment: 0.0 μB per formula unit.

It has space group P-62m (No. 189), with a = 7.5854 Å, b = 7.5854 Å, c = 4.2796 Å, α = 90.00°, β = 90.00° and γ = 120.00°. Symmetry generates all atoms from Nd at (0.0000, 0.4058, 0.0000), Cd at (0.0000, 0.7507, 0.5000), Ga at (0.3333, 0.6667, 0.5000) and Pd at (0.0000, 0.0000, 0.0000).

=====

Material: TlCoCuTe3
Method: DFT, PBE-GGA
State: optimized geometry

Its energy is -3.839 eV per atom. As for the total moment: 0.1 μB per formula unit.

It has space group Cmcm (No. 63), with a = 3.8322 Å, b = 14.2941 Å, c = 10.7310 Å, α = 90.00°, β = 90.00° and γ = 90.00°. Symmetry generates all atoms from Tl at (0.0000, 0.2462, 0.2500), Co at (0.0000, 0.0000, 0.0000), Cu at (0.0000, 0.4158, 0.7500), Te at (0.0000, 0.0424, 0.7500) and Te at (0.0000, 0.3813, 0.5159).

=====

Material: Re11Ni2
Method: DFT, PBE-GGA
State: optimized geometry

The value obtained for the offset from the most stable computed form is 0 meV per atom. The formation energy comes out at 0.2426 eV per atom. As for the total moment: 0.0 μB per formula unit.

It has space group R-3m (No. 166, hexagonal axes), with a = 5.0504 Å, b = 5.0504 Å, c = 26.5421 Å, α = 90.00°, β = 90.00° and γ = 120.00°. Symmetry generates all atoms from Re at (0.0000, 0.0000, 0.0000), Re at (0.0000, 0.0000, 0.3451), Re at (0.0000, 0.0000, 0.4536), Re at (0.0042, 0.5021, 0.4139) and Ni at (0.0000, 0.0000, 0.1652).

=====

Material: HfNpIr
Method: DFT, PBE-GGA
State: optimized geometry

The value obtained for the offset from the most stable computed form is 0 meV per atom. The formation energy comes out at -0.1414 eV per atom. As for the total moment: 4.5 μB per formula unit.

It has space group F-43m (No. 216), with a = 6.5512 Å, b = 6.5512 Å, c = 6.5512 Å, α = 90.00°, β = 90.00° and γ = 90.00°. Symmetry generates all atoms from Hf at (0.0000, 0.0000, 0.0000), Np at (0.0000, 0.0000, 0.5000) and Ir at (0.2500, 0.2500, 0.2500).